LiCa3Be: relaxed, PBE.

abc: 5.6296 5.6296 5.6296
angles: 90.00 90.00 90.00
Last column: nearest neighbours and their distance in Å.
Atoms (fractional coordinates):
1 Li 0.5000 0.5000 0.5000  12 Ca 3.98
2 Ca 0.5000 0.0000 0.0000  2 Be 2.81
3 Ca 0.0000 0.0000 0.5000  2 Be 2.81
4 Ca 0.0000 0.5000 0.0000  2 Be 2.81
5 Be 0.0000 0.0000 0.0000  6 Ca 2.81

ΔH_f (0 K): 284.1 meV per atom
Energy relative to the lowest polymorph listed for this composition: 0.000 eV/atom